Below is a relaxed RbMgBiPb crystal, with properties calculated at the PBE level.

Calculated values
Total energy ... -22.08 eV/cell
SG ... P4/nmm (129)
Formation energy from the elements ... -0.222 eV/atom

abc: 4.597 4.597 14.948
angles: 90.00 90.00 90.00
Sites, in units of the cell vectors:
1 Rb 0.750 0.750 0.257
2 Rb 0.250 0.250 0.743
3 Mg 0.750 0.250 0.000
4 Mg 0.250 0.750 0.000
5 Bi 0.750 0.750 0.873
6 Bi 0.250 0.250 0.127
7 Pb 0.250 0.750 0.500
8 Pb 0.750 0.250 0.500